Crystalline CrHgPbO4 at its relaxed geometry. Source: the Alexandria database, functional PBE with a Hubbard U.

Cell and atoms, written as extended XYZ:
```
14
Lattice="-4.805 2.353 4.114 0.226 -2.345 6.325 3.478 5.235 3.210" Properties=species:S:1:pos:R:3 pbc="T T T"
Cr -0.388 3.829 9.020
Cr -0.713 1.415 4.629
Hg 0.816 1.377 1.069
Hg -1.918 3.866 12.580
Pb 1.645 4.395 5.597
Pb -2.746 0.848 8.052
O 0.446 2.594 4.497
O -1.548 2.649 9.152
O -0.061 -0.098 4.283
O -1.372 1.426 6.152
O 0.812 3.611 10.180
O -1.914 1.632 3.469
O 0.270 3.817 7.496
O -1.041 5.341 9.365
```

## Properties
Crystal system: monoclinic
Magnetization in μB/cell: 0.00
Electronic total energy in eV per cell: -77.4